Entry from OQMD via LeMat-Bulk: a geometry-optimized Tb3In3CuPd2 structure (PBE).

electronic total energy = -0.3471 Ry per atom
space-group type = No. 189

a b c (Å): 7.665 7.665 3.870
angles (deg): 90.00 90.00 120.00
Fractional positions:
Tb1 0.000 0.590 0.000
Tb2 0.410 0.410 0.000
Tb3 0.590 0.000 0.000
In1 0.000 0.251 0.500
In2 0.251 0.000 0.500
In3 0.749 0.749 0.500
Cu1 0.000 0.000 0.000
Pd1 0.333 0.667 0.500
Pd2 0.667 0.333 0.500